Entry from Alexandria: a relaxed Fe2TeP crystal (PBE).

```
Fe2TeP
1.0
-1.458 -3.635 2.908
3.769 -2.612 1.663
-0.964 4.780 -0.118
Te Fe P
1 2 1
direct
0.750 0.250 0.500
0.250 0.750 0.500
0.000 0.000 0.000
0.500 0.500 0.000
```

Energy relative to the elements, uncorrected (eV/atom): 0.507
ΔE to the lowest computed polymorph (eV per atom): 0.598
Fermi-level density of states (states/eV/cell): 4.225



Entry from Alexandria: a relaxed LaZr2F crystal (PBE).

```
LaZr2F
1.0
-2.047 -3.259 3.162
-4.894 0.155 0.916
-2.971 -3.609 -1.720
La F Zr
1 1 2
direct
0.500 0.500 0.500
0.000 0.000 0.000
0.250 0.250 0.250
0.750 0.750 0.750
```

Energy relative to the elements, uncorrected (eV/atom): 0.170
ΔE to the lowest computed polymorph (eV per atom): 0.689
Fermi-level density of states (states/eV/cell): 5.472



Entry from Alexandria: a relaxed LiGdZrTl crystal (PBE).

```
LiGdZrTl
1.0
5.130 0.000 0.000
2.565 4.443 0.000
2.565 1.481 4.189
Li Gd Tl Zr
1 1 1 1
direct
0.000 0.000 0.000
0.750 0.750 0.750
0.500 0.500 0.500
0.250 0.250 0.250
```

Calculated formation energy (meV per atom): -14
Fermi-level density of states (states/eV/cell): 3.908



Entry from Alexandria: a relaxed PaCu2OsO8 crystal (PBE).

```
PaCu2OsO8
1.0
5.055 0.000 0.000
0.000 5.055 0.000
-2.527 -2.527 5.358
O Pa Os Cu
8 1 1 2
direct
0.006 0.018 0.618
0.612 0.600 0.618
0.400 0.994 0.382
0.715 0.251 0.841
0.982 0.388 0.382
0.749 0.874 0.159
0.410 0.285 0.159
0.126 0.590 0.841
0.000 0.000 0.000
0.750 0.250 0.500
0.250 0.750 0.500
0.500 0.500 0.000
```

Energy relative to the elements, uncorrected (eV/atom): -1.348
Fermi-level density of states (states/eV/cell): 5.717



Entry from Alexandria: a relaxed In2ReBr crystal (PBE).

```
In2ReBr
1.0
5.707 0.000 0.000
0.000 5.707 0.000
2.853 2.853 8.205
In Re Br
4 2 2
direct
0.712 0.125 0.250
0.375 0.288 0.750
0.875 0.962 0.750
0.038 0.625 0.250
0.750 0.250 0.500
0.000 0.000 0.000
0.250 0.750 0.500
0.500 0.500 0.000
```

Energy relative to the elements, uncorrected (eV/atom): 0.979
ΔE to the lowest computed polymorph (eV per atom): 0.659
Fermi-level density of states (states/eV/cell): 3.263



Entry from Alexandria: a relaxed Cd2Sn2Br crystal (PBE).

```
Cd2Sn2Br
1.0
4.339 0.000 0.000
0.000 4.339 0.000
2.169 2.169 7.515
Sn Br Cd
2 1 2
direct
0.602 0.602 0.796
0.398 0.398 0.204
0.000 0.000 0.000
0.750 0.250 0.500
0.250 0.750 0.500
```

Energy relative to the elements, uncorrected (eV/atom): 0.011
ΔE to the lowest computed polymorph (eV per atom): 0.057
Fermi-level density of states (states/eV/cell): 2.459



Entry from Alexandria: a relaxed NdSm5Hg crystal (PBE).

```
NdSm5Hg
1.0
-5.875 -0.876 -1.428
1.314 -1.775 -5.696
-0.446 -12.291 1.838
Sm Hg Nd
10 2 2
direct
0.550 0.888 0.633
0.969 0.031 0.250
0.216 0.487 0.570
0.888 0.550 0.133
0.112 0.450 0.867
0.031 0.969 0.750
0.784 0.513 0.430
0.513 0.784 0.930
0.450 0.112 0.367
0.487 0.216 0.070
0.000 0.000 0.000
0.000 0.000 0.500
0.359 0.641 0.250
0.641 0.359 0.750
```

Calculated formation energy (meV per atom): -28
Fermi-level density of states (states/eV/cell): 17.370



Entry from Alexandria: a relaxed Lu2PuMg crystal (PBE).

```
Lu2PuMg
1.0
-2.825 -0.889 -1.666
1.793 -2.206 -1.863
-1.644 -6.719 6.374
Pu Lu Mg
1 2 1
direct
0.500 0.500 0.000
0.000 0.000 0.256
0.000 0.000 0.744
0.500 0.500 0.500
```

Calculated formation energy (meV per atom): 47
ΔE to the lowest computed polymorph (eV per atom): 0.000
Fermi-level density of states (states/eV/cell): 9.707